Entry 1:
! Sr2SiHg2 PBE relaxed; values from VASP
! volume	31.7	A^3/atom
! DOS at the Fermi energy	2.917	states/eV/f.u.
! offset from the most stable computed form	0.0344	eV per atom
! magnetization	0.00	Bohr magnetons per cell
! ΔE_f (raw)	-0.197	eV/atom
&SYSTEM
  ibrav = 0, nat = 5, ntyp = 3
/
ATOMIC_SPECIES
Sr 87.62 Sr.upf
Hg 200.59 Hg.upf
Si 28.09 Si.upf
CELL_PARAMETERS angstrom
4.071 0.000 0.000
0.000 4.071 0.000
2.036 2.036 9.562
ATOMIC_POSITIONS crystal
Sr 0.593 0.593 0.814
Hg 0.750 0.250 0.500
Si 0.000 0.000 0.000
Hg 0.250 0.750 0.500
Sr 0.407 0.407 0.186

Entry 2:
! Sr2SiHg2 PBE relaxed; values from VASP
! volume	29.3	A^3/atom
! DOS at the Fermi energy	4.244	states/eV/f.u.
! offset from the most stable computed form	0.0000	eV per atom
! magnetization	0.00	Bohr magnetons per cell
! ΔE_f (raw)	-0.232	eV/atom
&SYSTEM
  ibrav = 0, nat = 10, ntyp = 3
/
ATOMIC_SPECIES
Hg 200.59 Hg.upf
Si 28.09 Si.upf
Sr 87.62 Sr.upf
CELL_PARAMETERS angstrom
-4.324 -2.796 5.735
3.129 -6.967 -1.037
3.561 1.119 3.230
ATOMIC_POSITIONS crystal
Hg 0.868 0.632 0.000
Hg 0.132 0.368 0.000
Si 0.500 0.500 0.000
Hg 0.632 0.132 0.000
Sr 0.181 0.681 0.500
Sr 0.819 0.319 0.500
Si 0.000 0.000 0.000
Sr 0.319 0.181 0.500
Sr 0.681 0.819 0.500
Hg 0.368 0.868 0.000

Entry 3:
! Sr2Si2Hg PBE relaxed; values from VASP
! volume	28.2	A^3/atom
! DOS at the Fermi energy	3.012	states/eV/f.u.
! offset from the most stable computed form	0.0805	eV per atom
! magnetization	0.00	Bohr magnetons per cell
! ΔE_f (raw)	-0.339	eV/atom
&SYSTEM
  ibrav = 0, nat = 10, ntyp = 3
/
ATOMIC_SPECIES
Si 28.09 Si.upf
Sr 87.62 Sr.upf
Hg 200.59 Hg.upf
CELL_PARAMETERS angstrom
-1.513 -7.910 -0.375
3.811 -0.392 -7.094
3.738 -0.812 2.053
ATOMIC_POSITIONS crystal
Si 0.100 0.400 0.000
Si 0.900 0.600 0.000
Sr 0.189 0.689 0.500
Sr 0.311 0.189 0.500
Sr 0.689 0.811 0.500
Hg 0.000 0.000 0.000
Hg 0.500 0.500 0.000
Si 0.600 0.100 0.000
Sr 0.811 0.311 0.500
Si 0.400 0.900 0.000

Entry 4:
! SrSi2Hg PBE relaxed; values from VASP
! volume	24.9	A^3/atom
! DOS at the Fermi energy	1.403	states/eV/f.u.
! magnetization	0.00	Bohr magnetons per cell
! ΔE_f (raw)	-0.114	eV/atom
&SYSTEM
  ibrav = 0, nat = 4, ntyp = 3
/
ATOMIC_SPECIES
Si 28.09 Si.upf
Sr 87.62 Sr.upf
Hg 200.59 Hg.upf
CELL_PARAMETERS angstrom
4.308 -0.001 -0.005
2.517 3.497 -0.005
1.833 0.939 6.610
ATOMIC_POSITIONS crystal
Si 0.028 0.028 0.926
Si 0.725 0.725 0.847
Sr 0.484 0.484 0.534
Hg 0.263 0.263 0.193

Entry 5:
! SrSi3Hg PBE relaxed; values from VASP
! volume	36.9	A^3/atom
! DOS at the Fermi energy	7.240	states/eV/f.u.
! offset from the most stable computed form	0.8964	eV per atom
! magnetization	1.04	Bohr magnetons per cell
! ΔE_f (raw)	1.598	eV/atom
&SYSTEM
  ibrav = 0, nat = 5, ntyp = 3
/
ATOMIC_SPECIES
Si 28.09 Si.upf
Hg 200.59 Hg.upf
Sr 87.62 Sr.upf
CELL_PARAMETERS angstrom
5.692 0.000 0.000
0.000 5.692 0.000
0.000 0.000 5.692
ATOMIC_POSITIONS crystal
Si 0.000 0.000 0.500
Hg 0.500 0.500 0.500
Sr 0.000 0.000 0.000
Si 0.500 0.000 0.000
Si 0.000 0.500 0.000

Entry 6:
! Sr2SiHg PBE relaxed; values from VASP
! volume	41.8	A^3/atom
! DOS at the Fermi energy	6.947	states/eV/f.u.
! magnetization	0.00	Bohr magnetons per cell
! ΔE_f (raw)	0.115	eV/atom
&SYSTEM
  ibrav = 0, nat = 8, ntyp = 3
/
ATOMIC_SPECIES
Hg 200.59 Hg.upf
Sr 87.62 Sr.upf
Si 28.09 Si.upf
CELL_PARAMETERS angstrom
6.026 0.000 0.000
0.000 6.026 0.000
3.013 3.013 9.201
ATOMIC_POSITIONS crystal
Hg 0.750 0.250 0.500
Sr 0.594 0.125 0.250
Si 0.500 0.500 0.000
Hg 0.000 0.000 0.000
Sr 0.375 0.406 0.750
Sr 0.156 0.625 0.250
Si 0.250 0.750 0.500
Sr 0.875 0.844 0.750

Entry 7:
! Sr2SiHg PBE relaxed; values from VASP
! volume	29.6	A^3/atom
! DOS at the Fermi energy	2.876	states/eV/f.u.
! magnetization	0.00	Bohr magnetons per cell
! ΔE_f (raw)	-0.267	eV/atom
&SYSTEM
  ibrav = 0, nat = 4, ntyp = 3
/
ATOMIC_SPECIES
Hg 200.59 Hg.upf
Si 28.09 Si.upf
Sr 87.62 Sr.upf
CELL_PARAMETERS angstrom
-1.727 -4.861 4.142
-2.197 -5.803 -2.295
4.976 4.356 -0.151
ATOMIC_POSITIONS crystal
Hg 0.454 0.454 0.000
Si 0.284 0.784 0.500
Sr 0.735 0.235 0.500
Sr 0.028 0.028 0.000

Entry 8:
! Sr3Si2Hg4 PBE relaxed; values from VASP
! volume	27.7	A^3/atom
! DOS at the Fermi energy	2.995	states/eV/f.u.
! magnetization	0.00	Bohr magnetons per cell
! ΔE_f (raw)	-0.402	eV/atom
&SYSTEM
  ibrav = 0, nat = 9, ntyp = 3
/
ATOMIC_SPECIES
Sr 87.62 Sr.upf
Hg 200.59 Hg.upf
Si 28.09 Si.upf
CELL_PARAMETERS angstrom
-3.493 2.396 1.963
-1.577 -2.047 -5.860
-1.679 -7.182 5.776
ATOMIC_POSITIONS crystal
Sr 0.330 0.660 0.347
Hg 0.277 0.554 0.926
Sr 0.670 0.340 0.653
Sr 0.000 0.000 0.000
Hg 0.953 0.905 0.627
Hg 0.723 0.446 0.074
Si 0.607 0.213 0.275
Hg 0.047 0.095 0.373
Si 0.393 0.787 0.725